1.
First-principles (PBE-GGA) data for a relaxed structure of NdErGeAu, as listed in Alexandria via LeMat-Bulk.

Cell: 5.146 5.146 5.146 Å, 60.00 60.00 60.00°
Last column: magnetic moment on the atom in μB.
Fractional coordinates of all 4 atoms:
Nd (0.500, 0.500, 0.500)  0.16
Ge (0.250, 0.250, 0.250)  -0.02
Au (0.750, 0.750, 0.750)  0.04
Er (0.000, 0.000, 0.000)  0.22

## Properties
VASP energy: -5.026 eV/atom
Total moment: 0.60 μB/f.u.
Calculated formation energy: -719 meV/atom
Fermi-level density of states: 3.942 states/eV/cell
Energy above the most stable polymorph in this dataset: 0.091 eV/atom
Space group: No. 216

2.
First-principles (PBE-GGA) data for a relaxed structure of Er2Ni4Ge3Au, as listed in Alexandria via LeMat-Bulk.

Cell: 4.025 4.025 10.134 Å, 90.00 90.00 90.00°
Fractional coordinates of all 10 atoms:
Er (0.500, 0.000, 0.246)
Er (0.000, 0.500, 0.754)
Ni (0.500, 0.500, 0.000)
Ni (0.000, 0.000, 0.000)
Ni (0.500, 0.000, 0.650)
Ni (0.000, 0.500, 0.350)
Ge (0.000, 0.000, 0.500)
Ge (0.500, 0.000, 0.875)
Ge (0.000, 0.500, 0.125)
Au (0.500, 0.500, 0.500)

## Properties
VASP energy: -5.525 eV/atom
Total moment: 0.00 μB/f.u.
Calculated formation energy: -587 meV/atom
Fermi-level density of states: 6.411 states/eV/cell
Space group: No. 115

3.
First-principles (PBE-GGA) data for a relaxed structure of ErPaGeAu, as listed in Alexandria via LeMat-Bulk.

Cell: 5.073 5.073 5.073 Å, 60.00 60.00 60.00°
Last column: magnetic moment on the atom in μB.
Fractional coordinates of all 4 atoms:
Ge (0.500, 0.500, 0.500)  -0.01
Pa (0.250, 0.250, 0.250)  1.04
Au (0.000, 0.000, 0.000)  0.05
Er (0.750, 0.750, 0.750)  0.38

## Properties
VASP energy: -5.904 eV/atom
Total moment: 1.84 μB/f.u.
Calculated formation energy: -415 meV/atom
Fermi-level density of states: 8.148 states/eV/cell
Space group: No. 216

4.
First-principles (PBE-GGA) data for a relaxed structure of Er2GePd4Au2, as listed in Alexandria via LeMat-Bulk.

Cell: 6.483 6.483 6.483 Å, 83.58 123.77 123.77°
Fractional coordinates of all 9 atoms:
Er (0.000, 0.711, 0.711)
Er (0.000, 0.289, 0.289)
Ge (0.000, 0.000, 0.000)
Pd (0.000, 0.725, 0.275)
Pd (0.451, 0.725, 0.725)
Pd (0.000, 0.275, 0.725)
Pd (0.549, 0.275, 0.275)
Au (0.500, 0.750, 0.250)
Au (0.500, 0.250, 0.750)

## Properties
VASP energy: -4.985 eV/atom
Total moment: 0.00 μB/f.u.
Calculated formation energy: -422 meV/atom
Fermi-level density of states: 5.642 states/eV/cell
Space group: No. 139

Q: Which of these has the lowest VASP energy?
A: ErPaGeAu

What did the first record say?
First-principles (PBE-GGA) data for a relaxed structure of NdErGeAu, as listed in Alexandria via LeMat-Bulk.

Cell: 5.146 5.146 5.146 Å, 60.00 60.00 60.00°
Last column: magnetic moment on the atom in μB.
Fractional coordinates of all 4 atoms:
Nd (0.500, 0.500, 0.500)  0.16
Ge (0.250, 0.250, 0.250)  -0.02
Au (0.750, 0.750, 0.750)  0.04
Er (0.000, 0.000, 0.000)  0.22

## Properties
VASP energy: -5.026 eV/atom
Total moment: 0.60 μB/f.u.
Calculated formation energy: -719 meV/atom
Fermi-level density of states: 3.942 states/eV/cell
Energy above the most stable polymorph in this dataset: 0.091 eV/atom
Space group: No. 216

Q: Number 2 is which compound?
A: Er2Ni4Ge3Au